# 1
Here is Na3Tm2BiS6 after structural relaxation from Alexandria via LeMat-Bulk. Energies are from PBE-GGA.

## Properties
calculated total energy	-0.1818	Ha/atom
ΔE_f (raw)	-1.4858	eV per atom
DOS at the Fermi energy	0.000	states/eV per cell
space-group type	No. 12

Geometry as extended XYZ:
```
12
Lattice="3.4519 -5.9798 0.0000 3.4519 5.9798 0.0000 -2.3075 0.0000 6.6990" Properties=species:S:1:pos:R:3 pbc="T T T"
Na 0.0000 0.0000 0.0000
Na 3.4519 1.9494 0.0000
Na 3.4519 -1.9494 0.0000
Tm 2.2981 3.9808 3.3495
Tm 2.2981 -3.9808 3.3495
Bi 2.2981 0.0000 3.3495
S 1.1081 2.0610 1.8269
S -0.0828 0.0000 4.8731
S 1.1081 -2.0610 1.8269
S 3.4881 2.0610 4.8721
S 4.6790 0.0000 1.8258
S 3.4881 -2.0610 4.8721
```

---

# 2
Here is ZnNi2RhC after structural relaxation from Alexandria via LeMat-Bulk. Energies are from PBE-GGA.

## Properties
calculated total energy	-0.2188	Ha/atom
DOS at the Fermi energy	3.953	states/eV per cell
energy relative to the elements	-70	meV/atom
space-group type	No. 123

Geometry as extended XYZ:
```
5
Lattice="3.7955 0.0000 0.0000 0.0000 3.7955 0.0000 0.0000 0.0000 4.0125" Properties=species:S:1:pos:R:3 pbc="T T T"
Zn 0.0000 0.0000 0.0000
Ni 0.0000 1.8977 2.0063
Ni 1.8977 0.0000 2.0063
Rh 1.8977 1.8977 0.0000
C 1.8977 1.8977 2.0063
```

---

# 3
Here is BaCr2Ag after structural relaxation from Alexandria via LeMat-Bulk. Energies are from PBE-GGA.

## Properties
calculated total energy	-0.1911	Ha/atom
DOS at the Fermi energy	2.973	states/eV per cell
energy relative to the elements	804	meV/atom
space-group type	No. 123

Geometry as extended XYZ:
```
4
Lattice="3.5858 0.0000 0.0000 0.0000 3.5858 0.0000 0.0000 0.0000 7.8734" Properties=species:S:1:pos:R:3 pbc="T T T"
Ba 0.0000 0.0000 0.0000
Cr 1.7929 1.7929 2.5140
Cr 1.7929 1.7929 5.3594
Ag 0.0000 0.0000 3.9367
```

---

# 4
Here is BaTaAu2 after structural relaxation from Alexandria via LeMat-Bulk. Energies are from PBE-GGA.

## Properties
calculated total energy	-0.1827	Ha/atom
DOS at the Fermi energy	2.705	states/eV per cell
energy relative to the elements	111	meV/atom
space-group type	No. 25

Geometry as extended XYZ:
```
4
Lattice="3.4929 0.0000 0.0000 0.0000 4.2101 0.0000 0.0000 0.0000 7.3641" Properties=species:S:1:pos:R:3 pbc="T T T"
Ba 0.0000 0.0000 0.0000
Ta 0.0000 2.1051 3.9525
Au 1.7464 0.0000 4.5083
Au 1.7464 2.1051 1.9077
```

---

# 5
Here is Pm3Ni4Ge2 after structural relaxation from Alexandria via LeMat-Bulk. Energies are from PBE-GGA.

## Properties
calculated total energy	-0.2110	Ha/atom
DOS at the Fermi energy	7.478	states/eV per cell
energy relative to the elements	-564	meV/atom
space-group type	No. 12

Geometry as extended XYZ:
```
9
Lattice="5.1157 -2.0619 0.0000 5.1157 2.0619 0.0000 -1.2415 0.0000 7.9982" Properties=species:S:1:pos:R:3 pbc="T T T"
Pm 0.0000 0.0000 0.0000
Pm 3.0851 0.0000 4.9549
Pm 5.9049 0.0000 3.0433
Ni 0.0682 0.0000 5.0795
Ni 1.5450 0.0000 7.3042
Ni 7.4449 0.0000 0.6940
Ni 8.9218 0.0000 2.9188
Ge 3.1053 0.0000 1.7075
Ge 5.8846 0.0000 6.2907
```

---

# 6
Here is YEr2Ru after structural relaxation from Alexandria via LeMat-Bulk. Energies are from PBE-GGA.

## Properties
calculated total energy	-0.2374	Ha/atom
DOS at the Fermi energy	3.683	states/eV per cell
energy relative to the elements	-243	meV/atom
space-group type	No. 123

Geometry as extended XYZ:
```
4
Lattice="3.4125 0.0000 0.0000 0.0000 3.4125 0.0000 0.0000 0.0000 8.8538" Properties=species:S:1:pos:R:3 pbc="T T T"
Y 0.0000 0.0000 0.0000
Er 1.7062 1.7062 2.8008
Er 1.7062 1.7062 6.0530
Ru 0.0000 0.0000 4.4269
```

---

# 7
Here is NaTiO2 after structural relaxation from Alexandria via LeMat-Bulk. Energies are from PBE-GGA.

## Properties
calculated total energy	-0.2632	Ha/atom
ΔE_f (raw)	-2.3792	eV per atom
DOS at the Fermi energy	2.108	states/eV per cell
space-group type	No. 164

Geometry as extended XYZ:
```
4
Lattice="2.9687 0.0000 0.0000 -1.4843 2.5710 0.0000 0.0000 0.0000 5.7405" Properties=species:S:1:pos:R:3 pbc="T T T"
Na 0.0000 0.0000 0.0000
Ti 0.0000 0.0000 2.8703
O 0.0000 1.7140 4.0534
O 1.4843 0.8570 1.6871
```